This record from Alexandria via LeMat-Bulk describes BaHg2Cl2 after structural relaxation. The functional is PBE.

Summary:
V   204.8 Å³/f.u.
DOS at the Fermi energy   0.00 states/eV/f.u.
Symmetry   No. 127
Energy above the most stable polymorph in this dataset   25.7 meV per atom
Formation energy without anion corrections   -1.267 eV per atom

The structure in extended XYZ format:
```
10
Lattice="-3.064 -7.010 2.366 6.171 -3.834 -3.368 3.255 0.427 5.478" Properties=species:S:1:pos:R:3 pbc="T T T"
Hg 5.166 -3.284 0.909
Hg 1.196 -7.133 3.567
Hg 1.441 -2.829 3.087
Hg 4.921 -7.588 1.390
Cl 1.563 -8.397 -0.275
Cl 4.120 -5.529 -2.018
Cl 1.544 -2.447 -0.727
Cl -1.013 -5.314 1.016
Ba 1.554 -5.422 -0.501
Ba 0.000 0.000 0.000
```